First-principles (GGA-PBE) data for a geometry-optimized BaSc2Bi2 structure, as listed in Alexandria.

DOS at the Fermi energy   4.07 states/eV/cell
ΔE_f   -666 meV/atom
Space-group type   I4/mmm, No. 139

Cell: 4.731 4.731 8.147 Å, 73.12 73.12 90.00°
Last column: magnetic moment on the atom in μB.
Sites, in units of the cell vectors:
Sc (0.750, 0.250, 0.500)  0.47
Sc (0.250, 0.750, 0.500)  0.47
Bi (0.376, 0.376, 0.248)  -0.04
Bi (0.624, 0.624, 0.752)  -0.04
Ba (0.000, 0.000, 0.000)  0.04